Entry a
Entry from the Alexandria database: Sr2TaCo after structural relaxation (PBE).

## Properties
V: 95.0 Å³/cell
M_tot: 0.13 μB/atom

Structure (POSCAR):
```
Sr2TaCo
1.0
6.040 -0.035 0.000
3.067 5.203 0.000
-4.553 -2.584 3.012
Co Sr Ta
1 2 1
direct
0.750 0.250 0.500 Co
0.000 0.000 0.000 Sr
0.500 0.500 0.000 Sr
0.250 0.750 0.500 Ta
```

Entry b
Entry from the Alexandria database: Sr2TaCo after structural relaxation (PBE).

## Properties
V: 99.2 Å³/cell
M_tot: 0.24 μB/atom

Structure (POSCAR):
```
Sr2TaCo
1.0
10.477 0.004 0.003
9.945 3.297 0.003
9.945 1.608 2.879
Sr Ta Co
2 1 1
direct
0.009 0.009 0.009 Sr
0.491 0.491 0.491 Sr
0.250 0.250 0.250 Ta
0.750 0.750 0.750 Co
```

Least stable = entry a

Entry a
Entry from the Alexandria database: SrTaCo after structural relaxation (PBE).

## Properties
V: 66.3 Å³/cell
M_tot: 0.00 μB/atom

Structure (POSCAR):
```
SrTaCo
1.0
-5.397 0.423 -3.686
-3.009 -0.371 -5.806
-1.149 -3.081 -0.140
Sr Co Ta
1 1 1
direct
0.341 0.341 0.659 Sr
0.045 0.045 0.955 Co
0.615 0.615 0.385 Ta
```

Entry b
Entry from the Alexandria database: SrTaCo after structural relaxation (PBE).

## Properties
V: 74.4 Å³/cell
M_tot: 0.00 μB/atom

Structure (POSCAR):
```
SrTaCo
1.0
-2.680 1.162 2.791
-0.805 -3.164 -2.381
2.258 -3.214 3.506
Co Sr Ta
1 1 1
direct
0.000 0.000 0.806 Co
0.667 0.333 0.345 Sr
0.333 0.667 0.848 Ta
```

Entry c
Entry from the Alexandria database: SrTaCo after structural relaxation (PBE).

## Properties
V: 67.6 Å³/cell
M_tot: 0.00 μB/atom

Structure (POSCAR):
```
SrTaCo
1.0
4.572 0.000 0.000
2.286 3.959 0.000
2.286 1.320 3.733
Sr Ta Co
1 1 1
direct
0.000 0.000 0.000 Sr
0.500 0.500 0.500 Ta
0.750 0.750 0.750 Co
```

Least stable = entry c

Entry a
Entry from the Alexandria database: Sr3TaCo after structural relaxation (PBE).

## Properties
V: 205.2 Å³/cell
M_tot: 0.53 μB/atom

Structure (POSCAR):
```
Sr3TaCo
1.0
-0.983 -4.244 -3.976
0.537 -4.082 4.224
-5.791 0.342 1.067
Co Sr Ta
1 3 1
direct
0.500 0.500 0.500 Co
0.000 0.500 0.000 Sr
0.000 0.000 0.500 Sr
0.500 0.000 0.000 Sr
0.000 0.000 0.000 Ta
```

Entry b
Entry from the Alexandria database: Sr3TaCo after structural relaxation (PBE).

## Properties
V: 173.0 Å³/cell
M_tot: 0.76 μB/atom

Structure (POSCAR):
```
Sr3TaCo
1.0
5.572 0.000 0.000
0.000 5.572 0.000
0.000 0.000 5.572
Sr Co Ta
3 1 1
direct
0.500 0.000 0.000 Sr
0.000 0.500 0.000 Sr
0.000 0.000 0.500 Sr
0.000 0.000 0.000 Co
0.500 0.500 0.500 Ta
```

Least stable = entry a

Entry a
Entry from the Alexandria database: Sr2CoTc after structural relaxation (PBE).

## Properties
V: 276.5 Å³/cell
M_tot: 0.45 μB/atom

Structure (POSCAR):
```
Sr2CoTc
1.0
11.237 0.000 0.000
0.000 11.237 0.000
5.619 5.619 2.190
Tc Co Sr
2 2 4
direct
0.750 0.250 0.500 Tc
0.000 0.000 0.000 Tc
0.250 0.750 0.500 Co
0.500 0.500 0.000 Co
0.375 0.556 0.750 Sr
0.306 0.625 0.250 Sr
0.875 0.694 0.750 Sr
0.444 0.125 0.250 Sr
```

Entry b
Entry from the Alexandria database: Sr2CoTc after structural relaxation (PBE).

## Properties
V: 106.7 Å³/cell
M_tot: 0.55 μB/atom

Structure (POSCAR):
```
Sr2CoTc
1.0
3.436 0.011 0.000
-0.011 3.436 0.000
0.000 0.000 9.039
Co Sr Tc
1 2 1
direct
0.500 0.500 0.661 Co
0.500 0.500 0.330 Sr
0.000 0.000 0.918 Sr
0.000 0.000 0.591 Tc
```

Least stable = entry a